1.
RbBI3: optimized geometry, PBE.

Computed properties:
distance to the lowest polymorph of the same formula	57.74	kJ/mol of atoms
total energy	-12.4	eV per formula unit
energy relative to the elements, uncorrected	-27.3	meV/atom
space group	I4/mmm (139)

Unit cell a=8.5365 b=8.5365 c=7.9320 alpha=57.45 beta=57.45 gamma=90.00
With the nearest neighbours (Å) after each atom.
Atoms (fractional coordinates):
I 0.2044 0.2044 0.5911  1 B 2.10
I 0.7956 0.7956 0.4089  1 B 2.10
I 0.2720 0.2720 0.0000  1 B 2.75
I 0.7280 0.7280 0.0000  1 B 2.75
I 0.7280 0.2720 0.0000  1 B 2.75
I 0.2720 0.7280 0.0000  1 B 2.75
B 0.5000 0.5000 0.0000  6 I 2.75-3.04
B 0.0000 0.0000 0.0000  2 I 2.10
Rb 0.7500 0.2500 0.5000  12 I 3.97-4.29
Rb 0.2500 0.7500 0.5000  12 I 3.97-4.29

2.
RbBI3: optimized geometry, PBE.

Computed properties:
distance to the lowest polymorph of the same formula	149.88	kJ/mol of atoms
total energy	-7.7	eV per formula unit
energy relative to the elements, uncorrected	927.7	meV/atom
space group	Pm-3m (221)

Unit cell a=6.8817 b=6.8817 c=6.8817 alpha=90.00 beta=90.00 gamma=90.00
With the nearest neighbours (Å) after each atom.
Atoms (fractional coordinates):
I 0.0000 0.5000 0.0000  2 Rb 3.44
I 0.0000 0.0000 0.5000  2 Rb 3.44
I 0.5000 0.0000 0.0000  2 Rb 3.44
B 0.5000 0.5000 0.5000  12 I 4.87
Rb 0.0000 0.0000 0.0000  6 I 3.44

3.
RbBI3: optimized geometry, PBE.

Computed properties:
distance to the lowest polymorph of the same formula	0.00	kJ/mol of atoms
total energy	-15.4	eV per formula unit
energy relative to the elements, uncorrected	-625.7	meV/atom
space group	P2_1/c (14)

Unit cell a=7.9805 b=8.5771 c=11.7188 alpha=90.00 beta=90.94 gamma=90.00
With the nearest neighbours (Å) after each atom.
Atoms (fractional coordinates):
Rb 0.9712 0.5655 0.2504  9 I 3.84-4.15
Rb 0.5288 0.0655 0.2496  9 I 3.84-4.15
Rb 0.0288 0.4345 0.7496  9 I 3.84-4.15
Rb 0.4712 0.9345 0.7504  9 I 3.84-4.15
B 0.4770 0.5801 0.0406  1 B 1.71
B 0.0230 0.0801 0.4594  1 B 1.71
B 0.5230 0.4199 0.9594  1 B 1.71
B 0.9770 0.9199 0.5406  1 B 1.71
I 0.1811 0.7311 0.5288  1 B 2.30
I 0.3189 0.2311 0.9712  1 B 2.30
I 0.8189 0.2689 0.4712  1 B 2.30
I 0.6811 0.7689 0.0288  1 B 2.30
I 0.9542 0.9803 0.7308  1 B 2.30
I 0.5458 0.4803 0.7692  1 B 2.30
I 0.0458 0.0197 0.2692  1 B 2.30
I 0.4542 0.5197 0.2308  1 B 2.30
I 0.7293 0.8030 0.4853  1 B 2.30
I 0.7707 0.3030 0.0147  1 B 2.30
I 0.2707 0.1970 0.5147  1 B 2.30
I 0.2293 0.6970 0.9853  1 B 2.30

4.
RbB2I: optimized geometry, PBE.

Computed properties:
distance to the lowest polymorph of the same formula	18.42	kJ/mol of atoms
total energy	-8.2	eV per formula unit
energy relative to the elements, uncorrected	1914.2	meV/atom
space group	Fm-3m (225)

Unit cell a=5.1667 b=5.1667 c=5.1667 alpha=60.00 beta=60.00 gamma=60.00
With the nearest neighbours (Å) after each atom.
Atoms (fractional coordinates):
I 0.5000 0.5000 0.5000  8 B 3.16
B 0.2500 0.2500 0.2500  4 Rb 3.16, 4 I 3.16
B 0.7500 0.7500 0.7500  4 I 3.16, 4 Rb 3.16
Rb 0.0000 0.0000 0.0000  8 B 3.16

5.
RbB2I: optimized geometry, PBE.

Computed properties:
distance to the lowest polymorph of the same formula	0.00	kJ/mol of atoms
total energy	-9.0	eV per formula unit
energy relative to the elements, uncorrected	1723.3	meV/atom
space group	I-42d (122)

Unit cell a=7.7002 b=7.7002 c=6.4846 alpha=53.58 beta=53.58 gamma=90.00
With the nearest neighbours (Å) after each atom.
Atoms (fractional coordinates):
I 0.0000 0.0000 0.0000  4 B 2.55
I 0.7500 0.2500 0.5000  4 B 2.55
B 0.6901 0.1250 0.2500  2 I 2.55
B 0.0599 0.6250 0.2500  2 I 2.55
B 0.3750 0.3099 0.7500  2 I 2.55
B 0.8750 0.9401 0.7500  2 I 2.55
Rb 0.5000 0.5000 0.0000  8 B 3.22-3.56, 2 I 3.52
Rb 0.2500 0.7500 0.5000  8 B 3.22-3.56, 2 I 3.52

6.
RbBI2: optimized geometry, PBE.

Computed properties:
distance to the lowest polymorph of the same formula	27.46	kJ/mol of atoms
total energy	-9.0	eV per formula unit
energy relative to the elements, uncorrected	436.6	meV/atom
space group	Fm-3m (225)

Unit cell a=5.8429 b=5.8429 c=5.8429 alpha=60.00 beta=60.00 gamma=60.00
With the nearest neighbours (Å) after each atom.
Atoms (fractional coordinates):
I 0.2500 0.2500 0.2500  4 Rb 3.58, 4 B 3.58
I 0.7500 0.7500 0.7500  4 Rb 3.58, 4 B 3.58
B 0.0000 0.0000 0.0000  8 I 3.58
Rb 0.5000 0.5000 0.5000  8 I 3.58

Number 1: N(E_F) 0.0 states/eV/cell. Number 2: N(E_F) 8.1 states/eV/cell. Number 3: N(E_F) 0.0 states/eV/cell. Number 4: N(E_F) 4.4 states/eV/cell. Number 5: N(E_F) 2.5 states/eV/cell. Number 6: N(E_F) 0.0 states/eV/cell.